# Gd2HoRh

A relaxed structure of Gd2HoRh (PBE, the Alexandria database).

extended XYZ file:
```
4
Lattice="3.541 0.000 0.000 0.000 3.541 0.000 0.000 0.000 8.544" Properties=species:S:1:pos:R:3 pbc="T T T"
Gd 0.000 0.000 1.632
Gd 0.000 0.000 6.912
Ho 1.771 1.771 4.272
Rh 1.771 1.771 0.000
```

offset from the most stable computed form	0.000	eV per atom
formation energy from the elements	-0.36	eV per atom
VASP energy	-41.53	eV for the cell shown
V	107.2	Å³/cell
magnetization	14.89	μB/cell

# GdHoRuRh

A relaxed structure of GdHoRuRh (PBE, the Alexandria database).

extended XYZ file:
```
4
Lattice="0.000 3.421 3.421 3.421 0.000 3.421 3.421 3.421 0.000" Properties=species:S:1:pos:R:3 pbc="T T T"
Gd 0.000 0.000 0.000
Ho 3.421 3.421 3.421
Ru 5.131 5.131 5.131
Rh 1.710 1.710 1.710
```

formation energy from the elements	-0.60	eV per atom
VASP energy	-37.67	eV for the cell shown
V	80.1	Å³/cell
magnetization	7.08	μB/cell

# GdHoScRh

A relaxed structure of GdHoScRh (PBE, the Alexandria database).

extended XYZ file:
```
4
Lattice="0.000 3.587 3.587 3.587 0.000 3.587 3.587 3.587 0.000" Properties=species:S:1:pos:R:3 pbc="T T T"
Gd 0.000 0.000 0.000
Ho 3.587 3.587 3.587
Sc 5.381 5.381 5.381
Rh 1.794 1.794 1.794
```

formation energy from the elements	-0.20	eV per atom
VASP energy	-33.12	eV for the cell shown
V	92.3	Å³/cell
magnetization	7.22	μB/cell

# GdHoSnRh

A relaxed structure of GdHoSnRh (PBE, the Alexandria database).

extended XYZ file:
```
4
Lattice="0.000 3.617 3.617 3.617 0.000 3.617 3.617 3.617 0.000" Properties=species:S:1:pos:R:3 pbc="T T T"
Gd 0.000 0.000 0.000
Ho 3.617 3.617 3.617
Sn 1.808 1.808 1.808
Rh 5.425 5.425 5.425
```

formation energy from the elements	-0.65	eV per atom
VASP energy	-32.60	eV for the cell shown
V	94.6	Å³/cell
magnetization	7.07	μB/cell

# GdHoTlRh

A relaxed structure of GdHoTlRh (PBE, the Alexandria database).

extended XYZ file:
```
4
Lattice="0.000 3.628 3.628 3.628 0.000 3.628 3.628 3.628 0.000" Properties=species:S:1:pos:R:3 pbc="T T T"
Gd 0.000 0.000 0.000
Ho 3.628 3.628 3.628
Tl 5.442 5.442 5.442
Rh 1.814 1.814 1.814
```

formation energy from the elements	-0.48	eV per atom
VASP energy	-30.31	eV for the cell shown
V	95.5	Å³/cell
magnetization	7.05	μB/cell

# GdHoZnRh

A relaxed structure of GdHoZnRh (PBE, the Alexandria database).

extended XYZ file:
```
4
Lattice="0.000 3.500 3.500 3.500 0.000 3.500 3.500 3.500 0.000" Properties=species:S:1:pos:R:3 pbc="T T T"
Gd 0.000 0.000 0.000
Ho 3.500 3.500 3.500
Zn 5.250 5.250 5.250
Rh 1.750 1.750 1.750
```

formation energy from the elements	-0.59	eV per atom
VASP energy	-29.64	eV for the cell shown
V	85.8	Å³/cell
magnetization	7.08	μB/cell